Below is a relaxed structure of NpCdH8Rh4, with properties calculated at the PBE level.

Its final energy is -5.005 eV per atom. The total moment comes out at 11.92 Bohr magnetons per cell.

The space group is R3m (No. 160, hexagonal axes) and the conventional cell measures 5.6089, 5.6089 and 15.1218 Å, with angles of 90.00, 90.00 and 120.00 degrees. The distinct sites, in fractional coordinates, are Np at (0.0000, 0.0000, 0.0000), Cd at (0.0000, 0.0000, 0.3533), H at (0.0000, 0.0000, 0.2148), H at (0.0000, 0.0000, 0.7637), H at (0.0020, 0.5010, 0.7878), H at (0.0455, 0.5227, 0.2316), Rh at (0.0000, 0.0000, 0.6439) and Rh at (0.0064, 0.5032, 0.5009).